No. 1
A relaxed Br3O2 crystal, computed with PBE.

a = 11.3498 Å, b = 4.4169 Å, c = 11.6344 Å
α = 90.00°, β = 99.87°, γ = 90.00°
Positions (direct):
Br 0.0720 0.9242 0.6962
Br 0.2076 0.1648 0.0987
Br 0.4315 0.3438 0.3654
Br 0.7924 0.1648 0.9013
Br 0.4315 0.8438 0.8654
Br 0.5685 0.3438 0.6346
Br 0.0720 0.4242 0.1962
Br 0.9280 0.4242 0.8038
Br 0.5685 0.8438 0.1346
Br 0.2076 0.6648 0.5987
Br 0.9280 0.9242 0.3038
Br 0.7924 0.6648 0.4013
O 0.5624 0.7043 0.6787
O 0.3744 0.8196 0.9900
O 0.4376 0.2043 0.8213
O 0.4376 0.7043 0.3213
O 0.3744 0.3196 0.4900
O 0.5624 0.2043 0.1787
O 0.6256 0.8196 0.0100
O 0.6256 0.3196 0.5100

Properties
final energy = -56.06 eV per cell
calculated volume = 28.7 A^3/atom
ΔE to the lowest computed polymorph = 0.46 eV/f.u.
uncorrected formation energy = 0.184 eV/atom



No. 2
A relaxed BrO2 crystal, computed with PBE.

a = 4.6597 Å, b = 4.6682 Å, c = 6.7267 Å
α = 109.35°, β = 103.97°, γ = 94.67°
Positions (direct):
O 0.9179 0.7616 0.8012
O 0.2833 0.1131 0.6661
O 0.3131 0.4859 0.0861
O 0.5376 0.4681 0.0146
Br 0.2791 0.2753 0.3191
Br 0.9558 0.0676 0.7287

Properties
final energy = -21.46 eV per cell
calculated volume = 22.0 A^3/atom
ΔE to the lowest computed polymorph = 0.13 eV/f.u.
uncorrected formation energy = 0.287 eV/atom



No. 3
A relaxed Br3O2 crystal, computed with PBE.

a = 6.2746 Å, b = 7.0055 Å, c = 7.3396 Å
α = 90.00°, β = 105.51°, γ = 90.00°
Positions (direct):
Br 0.5000 0.5000 0.0000
Br 0.2330 0.5000 0.6776
Br 0.5000 0.0000 0.5000
Br 0.7670 0.0000 0.8224
Br 0.2330 0.0000 0.1776
Br 0.7670 0.5000 0.3224
O 0.0610 0.5000 0.0804
O 0.9390 0.0000 0.4196
O 0.0610 0.0000 0.5804
O 0.9390 0.5000 0.9196

Properties
final energy = -28.65 eV per cell
calculated volume = 31.1 A^3/atom
ΔE to the lowest computed polymorph = 0.15 eV/f.u.
uncorrected formation energy = 0.122 eV/atom



No. 4
A relaxed BrO2 crystal, computed with PBE.

a = 3.8567 Å, b = 3.8656 Å, c = 4.9556 Å
α = 73.12°, β = 67.41°, γ = 60.18°
Positions (direct):
Br 0.7465 0.1399 0.5751
O 0.7251 0.9046 0.3481
O 0.2661 0.3742 0.8021

Properties
final energy = -10.57 eV per cell
calculated volume = 19.6 A^3/atom
ΔE to the lowest computed polymorph = 0.29 eV/f.u.
uncorrected formation energy = 0.339 eV/atom



No. 5
A relaxed BrO2 crystal, computed with PBE.

a = 5.1902 Å, b = 4.8484 Å, c = 6.6063 Å
α = 74.95°, β = 82.01°, γ = 64.76°
Positions (direct):
O 0.4696 0.4329 0.4935
O 0.1204 0.2689 0.9392
O 0.8297 0.0004 0.0940
O 0.8716 0.2811 0.9498
Br 0.4464 0.0776 0.6329
Br 0.1468 0.7266 0.2747

Properties
final energy = -21.46 eV per cell
calculated volume = 24.2 A^3/atom
ΔE to the lowest computed polymorph = 0.13 eV/f.u.
uncorrected formation energy = 0.286 eV/atom



No. 6
A relaxed BrO2 crystal, computed with PBE.

a = 3.2065 Å, b = 6.3648 Å, c = 9.6749 Å
α = 90.00°, β = 90.00°, γ = 90.00°
Positions (direct):
O 0.7500 0.2493 0.0375
O 0.7500 0.0007 0.7499
O 0.2500 0.2507 0.5375
O 0.7500 0.5007 0.7501
O 0.2500 0.9993 0.2501
O 0.2500 0.4993 0.2499
O 0.2500 0.7507 0.9625
O 0.7500 0.7493 0.4625
Br 0.2500 0.2506 0.7077
Br 0.7500 0.2494 0.2077
Br 0.2500 0.7506 0.7923
Br 0.7500 0.7494 0.2923

Properties
final energy = -38.64 eV per cell
calculated volume = 16.5 A^3/atom
ΔE to the lowest computed polymorph = 1.20 eV/f.u.
uncorrected formation energy = 0.643 eV/atom



No. 7
A relaxed Os2BrO crystal, computed with PBE.

a = 4.2323 Å, b = 4.2323 Å, c = 4.2323 Å
α = 60.00°, β = 60.00°, γ = 60.00°
Positions (direct):
O 0.0000 0.0000 0.0000
Os 0.7500 0.7500 0.7500
Os 0.2500 0.2500 0.2500
Br 0.5000 0.5000 0.5000

Properties
final energy = -22.93 eV per cell
calculated volume = 13.4 A^3/atom
ΔE to the lowest computed polymorph = 3.04 eV/f.u.
uncorrected formation energy = 1.541 eV/atom



No. 8
A relaxed Os2Br8O crystal, computed with PBE.

a = 6.9202 Å, b = 7.4838 Å, c = 7.4838 Å
α = 107.17°, β = 87.82°, γ = 87.82°
Positions (direct):
Br 0.2734 0.7130 0.1207
Br 0.7266 0.2870 0.8793
Br 0.7266 0.8793 0.2870
Br 0.2734 0.1207 0.7130
Br 0.8298 0.3494 0.3494
Br 0.1702 0.6506 0.6506
Br 0.3934 0.1783 0.1783
Br 0.6066 0.8217 0.8217
Os 0.2460 0.9155 0.9155
Os 0.7540 0.0845 0.0845
O 0.0000 0.0000 0.0000

Properties
final energy = -43.13 eV per cell
calculated volume = 33.6 A^3/atom
uncorrected formation energy = -0.212 eV/atom



No. 9
A relaxed Os2BrO crystal, computed with PBE.

a = 4.2953 Å, b = 4.2953 Å, c = 7.7290 Å
α = 73.87°, β = 73.87°, γ = 90.00°
Positions (direct):
O 0.2500 0.7500 0.5000
O 0.5000 0.5000 0.0000
Br 0.0000 0.0000 0.0000
Br 0.7500 0.2500 0.5000
Os 0.2384 0.6250 0.2500
Os 0.3750 0.4884 0.7500
Os 0.8750 0.7616 0.7500
Os 0.5116 0.1250 0.2500

Properties
final energy = -51.94 eV per cell
calculated volume = 16.4 A^3/atom
ΔE to the lowest computed polymorph = 0.00 eV/f.u.
uncorrected formation energy = 0.780 eV/atom



No. 10
A relaxed OsBrO4 crystal, computed with PBE.

a = 6.6384 Å, b = 5.5234 Å, c = 8.4338 Å
α = 90.00°, β = 90.00°, γ = 90.00°
Positions (direct):
O 0.4576 0.0413 0.5000
O 0.1055 0.1796 0.6667
O 0.5424 0.5413 0.0000
O 0.8945 0.6796 0.8333
O 0.8853 0.2387 0.0000
O 0.1147 0.7387 0.5000
O 0.8945 0.6796 0.1667
O 0.1055 0.1796 0.3333
Br 0.3701 0.9536 0.0000
Br 0.6299 0.4536 0.5000
Os 0.1947 0.0352 0.5000
Os 0.8053 0.5352 0.0000

Properties
final energy = -72.64 eV per cell
calculated volume = 25.8 A^3/atom
uncorrected formation energy = -0.598 eV/atom



No. 11
A relaxed P2OsBrO crystal, computed with PBE.

a = 4.7612 Å, b = 4.7612 Å, c = 3.7891 Å
α = 90.00°, β = 90.00°, γ = 90.00°
Positions (direct):
P 0.0000 0.5000 0.0000
P 0.5000 0.0000 0.0000
Br 0.5000 0.5000 0.5000
Os 0.0000 0.0000 0.0000
O 0.0000 0.0000 0.5000

Properties
final energy = -27.65 eV per cell
calculated volume = 17.2 A^3/atom
ΔE to the lowest computed polymorph = 0.00 eV/f.u.
uncorrected formation energy = 0.205 eV/atom



No. 12
A relaxed P2OsBrO crystal, computed with PBE.

a = 4.7861 Å, b = 4.7861 Å, c = 3.4723 Å
α = 90.00°, β = 90.00°, γ = 90.00°
Positions (direct):
O 0.0000 0.0000 0.5000
P 0.5000 0.0000 0.0000
P 0.0000 0.5000 0.0000
Br 0.0000 0.0000 0.0000
Os 0.5000 0.5000 0.5000

Properties
final energy = -20.56 eV per cell
calculated volume = 15.9 A^3/atom
ΔE to the lowest computed polymorph = 7.09 eV/f.u.
uncorrected formation energy = 1.623 eV/atom



No. 13
A relaxed OsPb3Br2O6 crystal, computed with PBE.

a = 6.1739 Å, b = 6.7531 Å, c = 6.9190 Å
α = 119.21°, β = 82.19°, γ = 90.00°
Positions (direct):
O 0.3225 0.7483 0.9006
O 0.3225 0.1523 0.9006
O 0.6775 0.8477 0.0994
O 0.3339 0.1466 0.2932
O 0.6661 0.8534 0.7068
O 0.6775 0.2517 0.0994
Pb 0.5000 0.5000 0.5000
Pb 0.0000 0.5000 0.0000
Pb 0.5000 0.0000 0.5000
Br 0.1152 0.7252 0.4503
Br 0.8848 0.2748 0.5497
Os 0.5000 0.0000 0.0000

Properties
final energy = -65.33 eV per cell
calculated volume = 20.7 A^3/atom
uncorrected formation energy = -0.824 eV/atom



No. 14
A relaxed OsPbBrO4 crystal, computed with PBE.

a = 6.9935 Å, b = 6.9935 Å, c = 7.4533 Å
α = 79.36°, β = 79.36°, γ = 66.04°
Positions (direct):
O 0.5228 0.8621 0.8610
O 0.8621 0.5228 0.8610
O 0.2893 0.2893 0.4955
O 0.7107 0.7107 0.5045
O 0.4862 0.4862 0.7810
O 0.4772 0.1379 0.1390
O 0.1379 0.4772 0.1390
O 0.5138 0.5138 0.2190
Os 0.6371 0.6371 0.7330
Os 0.3629 0.3629 0.2670
Pb 0.1950 0.1950 0.9148
Pb 0.8050 0.8050 0.0852
Br 0.9823 0.9823 0.7530
Br 0.0177 0.0177 0.2470

Properties
final energy = -86.15 eV per cell
calculated volume = 23.2 A^3/atom
uncorrected formation energy = -0.947 eV/atom



No. 15
A relaxed Pm3OsBr2O6 crystal, computed with PBE.

a = 5.8611 Å, b = 6.7090 Å, c = 6.7305 Å
α = 119.89°, β = 81.20°, γ = 90.00°
Positions (direct):
O 0.3044 0.7142 0.8938
O 0.6614 0.8370 0.6740
O 0.3386 0.1630 0.3260
O 0.3044 0.1795 0.8938
O 0.6956 0.8205 0.1062
O 0.6956 0.2858 0.1062
Pm 0.5000 0.5000 0.5000
Pm 0.5000 0.0000 0.5000
Pm 0.0000 0.5000 0.0000
Os 0.5000 0.0000 0.0000
Br 0.8830 0.2744 0.5488
Br 0.1170 0.7256 0.4512

Properties
final energy = -82.06 eV per cell
calculated volume = 18.8 A^3/atom
uncorrected formation energy = -1.957 eV/atom



No. 16
A relaxed Pr6Os2Br3O crystal, computed with PBE.

a = 7.0048 Å, b = 7.0048 Å, c = 8.1659 Å
α = 98.24°, β = 98.24°, γ = 119.95°
Positions (direct):
Pr 0.3838 0.0637 0.1907
Pr 0.9363 0.6162 0.8093
Pr 0.2550 0.2550 0.8091
Pr 0.6162 0.9363 0.8093
Pr 0.0637 0.3838 0.1907
Pr 0.7450 0.7450 0.1909
Br 0.1699 0.8301 0.5000
Br 0.5000 0.5000 0.5000
Br 0.8301 0.1699 0.5000
O 0.0000 0.0000 0.0000
Os 0.6663 0.3337 0.0000
Os 0.3337 0.6663 0.0000

Properties
final energy = -74.32 eV per cell
calculated volume = 27.7 A^3/atom
uncorrected formation energy = -1.100 eV/atom



No. 17
A relaxed Pr3OsBr2O6 crystal, computed with PBE.

a = 5.9109 Å, b = 6.7859 Å, c = 6.8223 Å
α = 119.82°, β = 81.76°, γ = 90.00°
Positions (direct):
O 0.6938 0.2826 0.1056
O 0.6611 0.8408 0.6816
O 0.3062 0.1770 0.8944
O 0.6938 0.8230 0.1056
O 0.3389 0.1592 0.3184
O 0.3062 0.7174 0.8944
Pr 0.5000 0.5000 0.5000
Pr 0.5000 0.0000 0.5000
Pr 0.0000 0.5000 0.0000
Br 0.1104 0.7275 0.4550
Br 0.8896 0.2725 0.5450
Os 0.5000 0.0000 0.0000

Properties
final energy = -81.54 eV per cell
calculated volume = 19.5 A^3/atom
uncorrected formation energy = -1.906 eV/atom



No. 18
A relaxed Pr8Os3Br3O crystal, computed with PBE.

a = 8.1801 Å, b = 8.1826 Å, c = 9.1833 Å
α = 116.47°, β = 89.99°, γ = 120.02°
Positions (direct):
Br 0.5000 0.5000 0.0000
Br 0.0000 0.0000 0.0000
Br 0.0000 0.5000 0.0000
Pr 0.7775 0.0363 0.3140
Pr 0.7779 0.5557 0.3143
Pr 0.2221 0.4443 0.6857
Pr 0.2225 0.9637 0.6860
Pr 0.2654 0.5306 0.2962
Pr 0.7416 0.9639 0.6858
Pr 0.2584 0.0361 0.3142
Pr 0.7346 0.4694 0.7038
Os 0.5000 0.0000 0.5000
Os 0.0000 0.5000 0.5000
Os 0.5000 0.5000 0.5000
O 0.0000 0.0000 0.5000

Properties
final energy = -93.72 eV per cell
calculated volume = 30.4 A^3/atom
uncorrected formation energy = -0.788 eV/atom



No. 19
A relaxed Pr8Os3Br4O crystal, computed with PBE.

a = 8.1418 Å, b = 9.1888 Å, c = 8.1494 Å
α = 116.38°, β = 119.97°, γ = 90.00°
Positions (direct):
Br 0.0000 0.0000 0.5000
Br 0.0000 0.0000 0.0000
Br 0.5000 0.0000 0.0000
Br 0.5000 0.0000 0.5000
Pr 0.2232 0.6876 0.9646
Pr 0.2650 0.2953 0.5300
Pr 0.2251 0.6890 0.4502
Pr 0.7768 0.3124 0.0354
Pr 0.7414 0.6876 0.9646
Pr 0.7749 0.3110 0.5498
Pr 0.2586 0.3124 0.0354
Pr 0.7350 0.7047 0.4700
O 0.0000 0.5000 0.0000
Os 0.5000 0.5000 0.0000
Os 0.0000 0.5000 0.5000
Os 0.5000 0.5000 0.5000

Properties
final energy = -99.01 eV per cell
calculated volume = 28.3 A^3/atom
uncorrected formation energy = -0.965 eV/atom



No. 20
A relaxed Rb2OsBr2O4 crystal, computed with PBE.

a = 6.6378 Å, b = 6.6378 Å, c = 6.6378 Å
α = 97.43°, β = 115.80°, γ = 115.80°
Positions (direct):
Rb 0.5000 0.7500 0.2500
Rb 0.5000 0.2500 0.7500
O 0.0000 0.1818 0.8182
O 0.0000 0.8182 0.1818
O 0.3636 0.1818 0.1818
O 0.6364 0.8182 0.8182
Br 0.0000 0.7028 0.7028
Br 0.0000 0.2972 0.2972
Os 0.0000 0.0000 0.0000

Properties
final energy = -45.97 eV per cell
calculated volume = 24.2 A^3/atom
uncorrected formation energy = -1.070 eV/atom